! PBE La5Er3Sb8, optimized geometry; values from VASP
! Formation energy without anion corrections ... -1.20 eV/atom
! DFT total energy ... -90.433 eV per formula unit
! N(E_F) ... 0.1847 states/eV/atom
&SYSTEM
  ibrav = 0, nat = 16, ntyp = 3
/
ATOMIC_SPECIES
La 138.91 La.upf
Er 167.26 Er.upf
Sb 121.76 Sb.upf
ATOMIC_POSITIONS crystal
La 0.000 0.000 0.000
La 0.000 0.500 0.500
La 0.500 0.000 0.500
La 0.500 0.500 0.000
La 0.500 0.500 0.500
Er 0.000 0.000 0.500
Er 0.000 0.500 0.000
Er 0.500 0.000 0.000
Sb 0.239 0.750 0.750
Sb 0.245 0.245 0.245
Sb 0.250 0.250 0.761
Sb 0.250 0.761 0.250
Sb 0.750 0.239 0.750
Sb 0.750 0.750 0.239
Sb 0.755 0.755 0.755
Sb 0.761 0.250 0.250
CELL_PARAMETERS angstrom
4.530 2.615 7.378
-4.530 2.615 7.378
0.000 -5.230 7.378